No. 1
TmTaRu4 after structural relaxation. Source: Alexandria, functional GGA-PBE.

Output
**DFT total energy**: -9.052 eV per atom
**Energy of formation from the pure elements**: -0.148 eV per atom
**Density of states at the Fermi level**: 1.343 states/eV/atom

Unit cell a=5.198 b=5.198 c=5.198 alpha=60.00 beta=60.00 gamma=60.00
Atoms (fractional coordinates):
Ru: 0.625 0.125 0.625
Tm: 0.000 0.000 0.000
Ru: 0.625 0.625 0.125
Ru: 0.625 0.625 0.625
Ru: 0.125 0.625 0.625
Ta: 0.250 0.250 0.250



No. 2
TmTa4Ru5 after structural relaxation. Source: Alexandria, functional GGA-PBE.

Output
**DFT total energy**: -10.218 eV per atom
**Energy of formation from the pure elements**: -0.391 eV per atom
**Density of states at the Fermi level**: 0.783 states/eV/atom

Unit cell a=3.132 b=3.132 c=16.966 alpha=90.00 beta=90.00 gamma=90.00
Atoms (fractional coordinates):
Ru: 0.500 0.500 0.881
Tm: 0.000 0.000 0.000
Ru: 0.500 0.500 0.308
Ru: 0.500 0.500 0.119
Ta: 0.000 0.000 0.598
Ru: 0.500 0.500 0.692
Ta: 0.000 0.000 0.794
Ta: 0.000 0.000 0.402
Ta: 0.000 0.000 0.206
Ru: 0.500 0.500 0.500



Copy entry 1 word for word.
TmTaRu4 after structural relaxation. Source: Alexandria, functional GGA-PBE.

Output
**DFT total energy**: -9.052 eV per atom
**Energy of formation from the pure elements**: -0.148 eV per atom
**Density of states at the Fermi level**: 1.343 states/eV/atom

Unit cell a=5.198 b=5.198 c=5.198 alpha=60.00 beta=60.00 gamma=60.00
Atoms (fractional coordinates):
Ru: 0.625 0.125 0.625
Tm: 0.000 0.000 0.000
Ru: 0.625 0.625 0.125
Ru: 0.625 0.625 0.625
Ru: 0.125 0.625 0.625
Ta: 0.250 0.250 0.250



Number 2 is which compound? TmTa4Ru5